Entry 1:
A plane-wave DFT calculation with PBE was carried out for a relaxed PmHgF crystal.

symmetry = I4mm
magnetization = 0.00 Bohr magnetons per cell
polymorph energy (0 for the lowest one) = 0.338 eV/atom
total energy = -3.879 eV per atom
raw formation energy = -1.5712 eV per atom

```
PmHgF
1.0
3.4495 0.0000 0.0000
0.0000 3.4495 0.0000
-1.7248 -1.7248 5.7172
F Hg Pm
1 1 1
Direct
0.0687 0.0687 0.1374
0.3260 0.3260 0.6520
0.6053 0.6053 0.2107
```

Entry 2:
A plane-wave DFT calculation with PBE was carried out for a relaxed Pm2HgF crystal.

symmetry = R-3m
magnetization = 0.00 Bohr magnetons per cell
polymorph energy (0 for the lowest one) = 0.000 eV/atom
total energy = -4.242 eV per atom
raw formation energy = -1.3231 eV per atom

```
Pm2HgF
1.0
-1.7217 -2.1498 -2.7421
-1.1939 -3.6060 0.8224
-7.4998 0.7078 1.3999
F Pm Hg
1 2 1
Direct
0.0000 0.0000 0.0000
0.2698 0.2698 0.1907
0.7302 0.7302 0.8093
0.5000 0.5000 0.5000
```

Entry 3:
A plane-wave DFT calculation with PBE was carried out for a relaxed Pm4Hg2F crystal.

symmetry = I4/mmm
magnetization = 0.00 Bohr magnetons per cell
total energy = -3.962 eV per atom
raw formation energy = -0.8937 eV per atom

```
Pm4Hg2F
1.0
4.8570 0.0000 0.0000
0.0000 4.8570 0.0000
-2.4285 -2.4285 8.1852
Pm Hg F
4 2 1
Direct
0.8126 0.8126 0.6251
0.1874 0.1874 0.3749
0.0000 0.5000 0.0000
0.5000 0.0000 0.0000
0.3702 0.3702 0.7403
0.6298 0.6298 0.2597
0.0000 0.0000 0.0000
```

Entry 4:
A plane-wave DFT calculation with PBE was carried out for a relaxed PmHgF6 crystal.

symmetry = Cmme
magnetization = 2.00 Bohr magnetons per cell
polymorph energy (0 for the lowest one) = 0.030 eV/atom
total energy = -4.512 eV per atom
raw formation energy = -2.4771 eV per atom

```
PmHgF6
1.0
-3.7558 3.5464 1.5566
-4.9364 -4.5425 -1.5614
1.7610 -1.0230 6.5796
F Hg Pm
12 2 2
Direct
0.1457 0.6031 0.3969
0.8543 0.3969 0.6031
0.3082 0.5418 0.7962
0.3082 0.2037 0.4582
0.1457 0.8969 0.1031
0.3082 0.9582 0.7038
0.8543 0.1031 0.8969
0.6918 0.7962 0.5418
0.6918 0.4582 0.2037
0.3082 0.2962 0.0418
0.6918 0.7038 0.9582
0.6918 0.0418 0.2962
0.5489 0.2500 0.7500
0.4511 0.7500 0.2500
0.0000 0.7500 0.7500
0.0000 0.2500 0.2500
```

Entry 5:
A plane-wave DFT calculation with PBE was carried out for a relaxed RbPmHgF6 crystal.

symmetry = P-31c
magnetization = 0.00 Bohr magnetons per cell
total energy = -4.791 eV per atom
raw formation energy = -2.8750 eV per atom

```
RbPmHgF6
1.0
6.3481 0.0000 0.0000
-3.1740 5.4976 0.0000
0.0000 0.0000 11.0891
F Hg Rb Pm
12 2 2 2
Direct
0.9913 0.6210 0.3562
0.0087 0.3790 0.6438
0.9913 0.3703 0.1438
0.3703 0.9913 0.6438
0.3703 0.3790 0.8562
0.6297 0.0087 0.3562
0.0087 0.6297 0.8562
0.6210 0.6297 0.6438
0.6297 0.6210 0.1438
0.6210 0.9913 0.8562
0.3790 0.3703 0.3562
0.3790 0.0087 0.1438
0.3333 0.6667 0.2500
0.6667 0.3333 0.7500
0.0000 0.0000 0.0000
0.0000 0.0000 0.5000
0.6667 0.3333 0.2500
0.3333 0.6667 0.7500
```

Entry 6:
A plane-wave DFT calculation with PBE was carried out for a relaxed PmTlHg2F8 crystal.

symmetry = P-3m1
magnetization = 0.18 Bohr magnetons per cell
total energy = -4.129 eV per atom
raw formation energy = -2.2386 eV per atom

```
PmTlHg2F8
1.0
-2.2820 -0.7619 5.9030
3.0434 -4.8009 -2.8849
6.9025 2.5727 3.0004
F Tl Hg Pm
8 1 2 1
Direct
0.8445 0.1555 0.1850
0.6891 0.8445 0.8150
0.6667 0.3333 0.5870
0.3333 0.6667 0.4130
0.1555 0.8445 0.8150
0.1555 0.3109 0.8150
0.3109 0.1555 0.1850
0.8445 0.6891 0.1850
0.0000 0.0000 0.5000
0.6667 0.3333 0.3244
0.3333 0.6667 0.6756
0.0000 0.0000 0.0000
```